No. 1
Computed, not measured: an optimized crystal structure of BaUPt10 at the PBE level of DFT.

abc: 4.4243 5.4879 9.4678
angles: 90.00 90.00 90.00
Last column: nearest neighbours and their distance in Å.
Fractional positions:
Ba 0.0000 0.0000 0.0000  18 Pt 3.24-3.60
U 0.0000 0.5000 0.5000  6 Pt 3.00-3.13
Pt 0.0000 0.0000 0.3418  6 Pt 2.67-2.73
Pt 0.0000 0.5000 0.8169  6 Pt 2.69-2.81, 1 U 3.00
Pt 0.0000 0.5000 0.1831  6 Pt 2.69-2.81, 1 U 3.00
Pt 0.0000 0.0000 0.6582  6 Pt 2.67-2.73
Pt 0.5000 0.0000 0.5000  8 Pt 2.67
Pt 0.5000 0.5000 0.0000  8 Pt 2.81
Pt 0.5000 0.2562 0.2607  8 Pt 2.67-2.81
Pt 0.5000 0.7438 0.7393  8 Pt 2.67-2.81
Pt 0.5000 0.7438 0.2607  8 Pt 2.67-2.81
Pt 0.5000 0.2562 0.7393  8 Pt 2.67-2.81

Output
**Symmetry**: Pmmm
**Size of the total moment**: 1.9 μB/f.u.
**Calculated formation energy**: -5.9 eV per formula unit

***

No. 2
Computed, not measured: an optimized crystal structure of AcMg4Tl8 at the PBE level of DFT.

abc: 6.3440 8.1719 8.1719
angles: 81.33 67.16 67.16
Last column: nearest neighbours and their distance in Å.
Fractional positions:
Ac 0.0000 0.0000 0.0000  12 Tl 3.69-3.91, 8 Mg 4.09
Mg 0.0000 0.0000 0.5000  8 Tl 3.12-3.27, 2 Mg 3.17
Mg 0.5000 0.0000 0.5000  8 Tl 3.12-3.27, 2 Mg 3.17
Mg 0.0000 0.5000 0.0000  8 Tl 3.12-3.27, 2 Mg 3.17
Mg 0.5000 0.5000 0.0000  8 Tl 3.12-3.27, 2 Mg 3.17
Tl 0.0000 0.3467 0.6533  5 Tl 3.27-3.47, 4 Mg 3.27
Tl 0.0000 0.6533 0.3467  5 Tl 3.27-3.47, 4 Mg 3.27
Tl 0.3467 0.6533 0.6533  5 Tl 3.27-3.47, 4 Mg 3.27
Tl 0.6533 0.3467 0.3467  5 Tl 3.27-3.47, 4 Mg 3.27
Tl 0.5000 0.7846 0.2154  4 Mg 3.12, 6 Tl 3.24-3.47
Tl 0.5000 0.2154 0.7846  4 Mg 3.12, 6 Tl 3.24-3.47
Tl 0.2846 0.2154 0.2154  4 Mg 3.12, 6 Tl 3.24-3.47
Tl 0.7154 0.7846 0.7846  4 Mg 3.12, 6 Tl 3.24-3.47

Output
**Symmetry**: I4/mmm
**Size of the total moment**: 0.0 μB/f.u.
**Calculated formation energy**: -1.1 eV per formula unit

***

No. 3
Computed, not measured: an optimized crystal structure of MgNiMo at the PBE level of DFT.

abc: 2.7124 4.8945 6.7497
angles: 92.47 90.16 90.11
Last column: nearest neighbours and their distance in Å.
Fractional positions:
Ni 0.2008 0.9702 0.7449  6 Mo 2.59-2.90, 3 Ni 2.63-2.71, 3 Mg 2.77-2.80
Ni 0.2023 0.2895 0.0689  6 Mo 2.59-2.90, 3 Ni 2.63-2.71, 3 Mg 2.77-2.80
Mg 0.7018 0.1301 0.4068  6 Mg 2.71-2.80, 4 Ni 2.79-2.80, 2 Mo 2.84
Mg 0.2018 0.6301 0.4069  6 Mg 2.71-2.80, 2 Ni 2.77, 4 Mo 2.96
Mo 0.7008 0.8093 0.0454  3 Mo 2.51-2.71, 4 Ni 2.59-2.71
Mo 0.7024 0.4503 0.7684  3 Mo 2.51-2.71, 4 Ni 2.59-2.71

Output
**Symmetry**: P-1
**Size of the total moment**: 0.0 μB/f.u.
**Energy relative to the lowest polymorph listed for this composition**: 162 meV per atom
**Calculated formation energy**: 0.5 eV per formula unit

***

No. 4
Computed, not measured: an optimized crystal structure of Al2SbTe at the PBE level of DFT.

abc: 5.7704 5.7704 5.7363
angles: 62.09 62.09 36.50
Last column: nearest neighbours and their distance in Å.
Fractional positions:
Sb 0.4481 0.4481 0.5503  5 Al 2.96-3.10, 2 Te 3.12-3.30
Te 0.2963 0.2963 0.2110  5 Al 2.87-3.14, 1 Sb 3.12
Al 0.0558 0.0558 0.0823  2 Al 2.81, 2 Sb 2.96, 3 Te 3.07-3.14
Al 0.6998 0.6998 0.6564  2 Al 2.81, 2 Te 2.87, 3 Sb 3.07-3.10

Output
**Symmetry**: Cm
**Size of the total moment**: 0.0 μB/f.u.
**Energy relative to the lowest polymorph listed for this composition**: 261 meV per atom